1.
{"formula": "LuZrHgPb", "functional": "GGA-PBE", "state": "relaxed", "lattice_angstrom": [[0.000, 3.643, 3.643], [3.643, 0.000, 3.643], [3.643, 3.643, 0.000]], "species": ["Lu", "Zr", "Hg", "Pb"], "fractional_positions": [[0.000, 0.000, 0.000], [0.500, 0.500, 0.500], [0.750, 0.750, 0.750], [0.250, 0.250, 0.250]], "final_energy_ha_per_atom": -0.16336, "n_ef_per_ev_cell": 4.0, "delta_e_f_mev_per_atom": -176}

2.
{"formula": "LuHgPd2", "functional": "GGA-PBE", "state": "relaxed", "lattice_angstrom": [[3.555, 0.000, 0.000], [0.000, 3.555, 0.000], [0.000, 0.000, 6.037]], "species": ["Lu", "Hg", "Pd", "Pd"], "fractional_positions": [[0.000, 0.000, 0.000], [0.000, 0.000, 0.500], [0.500, 0.500, 0.249], [0.500, 0.500, 0.751]], "final_energy_ha_per_atom": -0.16496, "n_ef_per_ev_cell": 1.4, "delta_e_f_mev_per_atom": -687}

3.
{"formula": "LuHgPd2", "functional": "GGA-PBE", "state": "relaxed", "lattice_angstrom": [[4.420, 0.000, 0.000], [0.000, 4.420, 0.000], [0.000, 0.000, 3.855]], "species": ["Lu", "Hg", "Pd", "Pd"], "fractional_positions": [[0.000, 0.000, 0.000], [0.500, 0.500, 0.000], [0.000, 0.500, 0.500], [0.500, 0.000, 0.500]], "final_energy_ha_per_atom": -0.16405, "n_ef_per_ev_cell": 2.2, "delta_e_f_mev_per_atom": -662}

4.
{"formula": "LuHgPd4", "functional": "GGA-PBE", "state": "relaxed", "lattice_angstrom": [[0.000, 3.777, 3.777], [3.777, 0.000, 3.777], [3.777, 3.777, 0.000]], "species": ["Lu", "Hg", "Pd", "Pd", "Pd", "Pd"], "fractional_positions": [[0.000, 0.000, 0.000], [0.250, 0.250, 0.250], [0.126, 0.625, 0.625], [0.625, 0.126, 0.625], [0.625, 0.625, 0.126], [0.625, 0.625, 0.625]], "final_energy_ha_per_atom": -0.17779, "n_ef_per_ev_cell": 4.7, "delta_e_f_mev_per_atom": -572}

5.
{"formula": "PmLuHgPd", "functional": "GGA-PBE", "state": "relaxed", "lattice_angstrom": [[0.000, 3.630, 3.630], [3.630, 0.000, 3.630], [3.630, 3.630, 0.000]], "species": ["Pm", "Lu", "Hg", "Pd"], "fractional_positions": [[0.000, 0.000, 0.000], [0.500, 0.500, 0.500], [0.750, 0.750, 0.750], [0.250, 0.250, 0.250]], "final_energy_ha_per_atom": -0.15829, "n_ef_per_ev_cell": 3.4, "delta_e_f_mev_per_atom": -616}

6.
{"formula": "LuPuHgPd", "functional": "GGA-PBE", "state": "relaxed", "lattice_angstrom": [[0.000, 3.606, 3.606], [3.606, 0.000, 3.606], [3.606, 3.606, 0.000]], "species": ["Lu", "Pu", "Hg", "Pd"], "fractional_positions": [[0.000, 0.000, 0.000], [0.500, 0.500, 0.500], [0.750, 0.750, 0.750], [0.250, 0.250, 0.250]], "final_energy_ha_per_atom": -0.23831, "n_ef_per_ev_cell": 11.2, "delta_e_f_mev_per_atom": -398}

7.
{"formula": "LuHgPdRu", "functional": "GGA-PBE", "state": "relaxed", "lattice_angstrom": [[0.000, 3.316, 3.316], [3.316, 0.000, 3.316], [3.316, 3.316, 0.000]], "species": ["Lu", "Hg", "Pd", "Ru"], "fractional_positions": [[0.000, 0.000, 0.000], [0.500, 0.500, 0.500], [0.250, 0.250, 0.250], [0.750, 0.750, 0.750]], "final_energy_ha_per_atom": -0.18836, "n_ef_per_ev_cell": 3.2, "delta_e_f_mev_per_atom": -303}

8.
{"formula": "SmLuHgPd", "functional": "GGA-PBE", "state": "relaxed", "lattice_angstrom": [[0.000, 3.621, 3.621], [3.621, 0.000, 3.621], [3.621, 3.621, 0.000]], "species": ["Sm", "Lu", "Hg", "Pd"], "fractional_positions": [[0.000, 0.000, 0.000], [0.500, 0.500, 0.500], [0.250, 0.250, 0.250], [0.750, 0.750, 0.750]], "final_energy_ha_per_atom": -0.15833, "n_ef_per_ev_cell": 3.3, "delta_e_f_mev_per_atom": -625}

9.
{"formula": "TbLuHgPd", "functional": "GGA-PBE", "state": "relaxed", "lattice_angstrom": [[0.000, 3.589, 3.589], [3.589, 0.000, 3.589], [3.589, 3.589, 0.000]], "species": ["Tb", "Lu", "Hg", "Pd"], "fractional_positions": [[0.000, 0.000, 0.000], [0.500, 0.500, 0.500], [0.250, 0.250, 0.250], [0.750, 0.750, 0.750]], "final_energy_ha_per_atom": -0.15872, "n_ef_per_ev_cell": 2.7, "delta_e_f_mev_per_atom": -657}

10.
{"formula": "LuThHgPd", "functional": "GGA-PBE", "state": "relaxed", "lattice_angstrom": [[0.000, 3.658, 3.658], [3.658, 0.000, 3.658], [3.658, 3.658, 0.000]], "species": ["Lu", "Th", "Hg", "Pd"], "fractional_positions": [[0.000, 0.000, 0.000], [0.500, 0.500, 0.500], [0.250, 0.250, 0.250], [0.750, 0.750, 0.750]], "final_energy_ha_per_atom": -0.17832, "n_ef_per_ev_cell": 4.5, "delta_e_f_mev_per_atom": -493}

11.
{"formula": "LuTiHgPd", "functional": "GGA-PBE", "state": "relaxed", "lattice_angstrom": [[0.000, 3.417, 3.417], [3.417, 0.000, 3.417], [3.417, 3.417, 0.000]], "species": ["Lu", "Ti", "Hg", "Pd"], "fractional_positions": [[0.000, 0.000, 0.000], [0.500, 0.500, 0.500], [0.750, 0.750, 0.750], [0.250, 0.250, 0.250]], "final_energy_ha_per_atom": -0.17794, "n_ef_per_ev_cell": 5.4, "delta_e_f_mev_per_atom": -364}

12.
{"formula": "LuTlHgPd", "functional": "GGA-PBE", "state": "relaxed", "lattice_angstrom": [[0.000, 3.519, 3.519], [3.519, 0.000, 3.519], [3.519, 3.519, 0.000]], "species": ["Lu", "Tl", "Hg", "Pd"], "fractional_positions": [[0.000, 0.000, 0.000], [0.500, 0.500, 0.500], [0.250, 0.250, 0.250], [0.750, 0.750, 0.750]], "final_energy_ha_per_atom": -0.12766, "n_ef_per_ev_cell": 2.1, "delta_e_f_mev_per_atom": -378}

13.
{"formula": "YLuHgPd", "functional": "GGA-PBE", "state": "relaxed", "lattice_angstrom": [[0.000, 3.585, 3.585], [3.585, 0.000, 3.585], [3.585, 3.585, 0.000]], "species": ["Y", "Lu", "Hg", "Pd"], "fractional_positions": [[0.000, 0.000, 0.000], [0.500, 0.500, 0.500], [0.250, 0.250, 0.250], [0.750, 0.750, 0.750]], "final_energy_ha_per_atom": -0.17594, "n_ef_per_ev_cell": 2.4, "delta_e_f_mev_per_atom": -668}

14.
{"formula": "PmLu2Hg", "functional": "GGA-PBE", "state": "relaxed", "lattice_angstrom": [[4.800, 0.000, 0.000], [0.000, 4.800, 0.000], [0.000, 0.000, 4.755]], "species": ["Pm", "Lu", "Lu", "Hg"], "fractional_positions": [[0.000, 0.000, 0.000], [0.000, 0.500, 0.500], [0.500, 0.000, 0.500], [0.500, 0.500, 0.000]], "final_energy_ha_per_atom": -0.13496, "n_ef_per_ev_cell": 5.1, "delta_e_f_mev_per_atom": -149}

15.
{"formula": "PmLuHg", "functional": "GGA-PBE", "state": "relaxed", "lattice_angstrom": [[-1.806, 1.806, 6.464], [1.806, -1.806, 6.464], [1.806, 1.806, -6.464]], "species": ["Pm", "Lu", "Hg"], "fractional_positions": [[0.000, 0.000, 0.000], [0.308, 0.308, 0.000], [0.669, 0.669, 0.000]], "final_energy_ha_per_atom": -0.12820, "n_ef_per_ev_cell": 3.7, "delta_e_f_mev_per_atom": -297}

16.
{"formula": "PmLu2Hg", "functional": "GGA-PBE", "state": "relaxed", "lattice_angstrom": [[0.000, 3.793, 3.793], [3.793, 0.000, 3.793], [3.793, 3.793, 0.000]], "species": ["Pm", "Lu", "Lu", "Hg"], "fractional_positions": [[0.000, 0.000, 0.000], [0.250, 0.250, 0.250], [0.750, 0.750, 0.750], [0.500, 0.500, 0.500]], "final_energy_ha_per_atom": -0.12897, "n_ef_per_ev_cell": 6.9, "delta_e_f_mev_per_atom": 14}

17.
{"formula": "PmLu2Hg", "functional": "GGA-PBE", "state": "relaxed", "lattice_angstrom": [[3.565, 0.000, 0.000], [0.000, 3.565, 0.000], [0.000, 0.000, 8.888]], "species": ["Pm", "Lu", "Lu", "Hg"], "fractional_positions": [[0.000, 0.000, 0.000], [0.500, 0.500, 0.284], [0.500, 0.500, 0.716], [0.000, 0.000, 0.500]], "final_energy_ha_per_atom": -0.13810, "n_ef_per_ev_cell": 4.2, "delta_e_f_mev_per_atom": -234}

18.
{"formula": "PmLuHgRu", "functional": "GGA-PBE", "state": "relaxed", "lattice_angstrom": [[0.000, 3.570, 3.570], [3.570, 0.000, 3.570], [3.570, 3.570, 0.000]], "species": ["Pm", "Lu", "Hg", "Ru"], "fractional_positions": [[0.000, 0.000, 0.000], [0.500, 0.500, 0.500], [0.750, 0.750, 0.750], [0.250, 0.250, 0.250]], "final_energy_ha_per_atom": -0.18484, "n_ef_per_ev_cell": 4.1, "delta_e_f_mev_per_atom": -317}

19.
{"formula": "PmLuHgSb", "functional": "GGA-PBE", "state": "relaxed", "lattice_angstrom": [[0.000, 3.765, 3.765], [3.765, 0.000, 3.765], [3.765, 3.765, 0.000]], "species": ["Pm", "Lu", "Hg", "Sb"], "fractional_positions": [[0.000, 0.000, 0.000], [0.500, 0.500, 0.500], [0.250, 0.250, 0.250], [0.750, 0.750, 0.750]], "final_energy_ha_per_atom": -0.14695, "n_ef_per_ev_cell": 4.2, "e_form_raw_ev_per_atom": -0.57}

20.
{"formula": "PmLuScHg", "functional": "GGA-PBE", "state": "relaxed", "lattice_angstrom": [[0.000, 3.720, 3.720], [3.720, 0.000, 3.720], [3.720, 3.720, 0.000]], "species": ["Pm", "Lu", "Sc", "Hg"], "fractional_positions": [[0.000, 0.000, 0.000], [0.250, 0.250, 0.250], [0.750, 0.750, 0.750], [0.500, 0.500, 0.500]], "final_energy_ha_per_atom": -0.14631, "n_ef_per_ev_cell": 5.4, "delta_e_f_mev_per_atom": -5}

21.
{"formula": "PmLuSiHg", "functional": "GGA-PBE", "state": "relaxed", "lattice_angstrom": [[0.000, 3.628, 3.628], [3.628, 0.000, 3.628], [3.628, 3.628, 0.000]], "species": ["Pm", "Lu", "Si", "Hg"], "fractional_positions": [[0.000, 0.000, 0.000], [0.500, 0.500, 0.500], [0.250, 0.250, 0.250], [0.750, 0.750, 0.750]], "final_energy_ha_per_atom": -0.15360, "n_ef_per_ev_cell": 3.0, "e_form_raw_ev_per_atom": -0.43}

22.
{"formula": "PmSmLuHg", "functional": "GGA-PBE", "state": "relaxed", "lattice_angstrom": [[0.000, 3.862, 3.862], [3.862, 0.000, 3.862], [3.862, 3.862, 0.000]], "species": ["Pm", "Sm", "Lu", "Hg"], "fractional_positions": [[0.000, 0.000, 0.000], [0.500, 0.500, 0.500], [0.750, 0.750, 0.750], [0.250, 0.250, 0.250]], "final_energy_ha_per_atom": -0.13444, "n_ef_per_ev_cell": 5.3, "delta_e_f_mev_per_atom": -85}

23.
{"formula": "PmLuSnHg", "functional": "GGA-PBE", "state": "relaxed", "lattice_angstrom": [[0.000, 3.751, 3.751], [3.751, 0.000, 3.751], [3.751, 3.751, 0.000]], "species": ["Pm", "Lu", "Sn", "Hg"], "fractional_positions": [[0.000, 0.000, 0.000], [0.500, 0.500, 0.500], [0.250, 0.250, 0.250], [0.750, 0.750, 0.750]], "final_energy_ha_per_atom": -0.14439, "n_ef_per_ev_cell": 3.1, "delta_e_f_mev_per_atom": -535}

24.
{"formula": "PmLuTlHg", "functional": "GGA-PBE", "state": "relaxed", "lattice_angstrom": [[0.000, 3.779, 3.779], [3.779, 0.000, 3.779], [3.779, 3.779, 0.000]], "species": ["Pm", "Lu", "Tl", "Hg"], "fractional_positions": [[0.000, 0.000, 0.000], [0.500, 0.500, 0.500], [0.250, 0.250, 0.250], [0.750, 0.750, 0.750]], "final_energy_ha_per_atom": -0.12399, "n_ef_per_ev_cell": 4.3, "delta_e_f_mev_per_atom": -389}

25.
{"formula": "PmYLuHg", "functional": "GGA-PBE", "state": "relaxed", "lattice_angstrom": [[0.000, 3.841, 3.841], [3.841, 0.000, 3.841], [3.841, 3.841, 0.000]], "species": ["Pm", "Y", "Lu", "Hg"], "fractional_positions": [[0.000, 0.000, 0.000], [0.500, 0.500, 0.500], [0.250, 0.250, 0.250], [0.750, 0.750, 0.750]], "final_energy_ha_per_atom": -0.15025, "n_ef_per_ev_cell": 5.4, "delta_e_f_mev_per_atom": -79}

26.
{"formula": "PmLuZnHg", "functional": "GGA-PBE", "state": "relaxed", "lattice_angstrom": [[0.000, 3.669, 3.669], [3.669, 0.000, 3.669], [3.669, 3.669, 0.000]], "species": ["Pm", "Lu", "Zn", "Hg"], "fractional_positions": [[0.000, 0.000, 0.000], [0.500, 0.500, 0.500], [0.250, 0.250, 0.250], [0.750, 0.750, 0.750]], "final_energy_ha_per_atom": -0.11346, "n_ef_per_ev_cell": 4.1, "delta_e_f_mev_per_atom": -376}

27.
{"formula": "Pr2LuHg", "functional": "GGA-PBE", "state": "relaxed", "lattice_angstrom": [[3.743, 0.000, 0.000], [0.000, 3.743, 0.000], [0.000, 0.000, 8.859]], "species": ["Pr", "Pr", "Lu", "Hg"], "fractional_positions": [[0.000, 0.000, 0.229], [0.000, 0.000, 0.771], [0.500, 0.500, 0.500], [0.500, 0.500, 0.000]], "final_energy_ha_per_atom": -0.13940, "n_ef_per_ev_cell": 5.3, "delta_e_f_mev_per_atom": -198}

28.
{"formula": "Pr2LuHg", "functional": "GGA-PBE", "state": "relaxed", "lattice_angstrom": [[1.755, 1.013, 12.023], [-1.755, 1.013, 12.023], [0.000, -2.027, 12.023]], "species": ["Pr", "Pr", "Lu", "Hg"], "fractional_positions": [[0.094, 0.094, 0.094], [0.906, 0.906, 0.906], [0.000, 0.000, 0.000], [0.500, 0.500, 0.500]], "final_energy_ha_per_atom": -0.12895, "n_ef_per_ev_cell": 5.7, "delta_e_f_mev_per_atom": 86}

29.
{"formula": "PrLu2Hg", "functional": "GGA-PBE", "state": "relaxed", "lattice_angstrom": [[4.827, 0.000, 0.000], [0.000, 4.827, 0.000], [0.000, 0.000, 4.789]], "species": ["Pr", "Lu", "Lu", "Hg"], "fractional_positions": [[0.000, 0.000, 0.000], [0.000, 0.500, 0.500], [0.500, 0.000, 0.500], [0.500, 0.500, 0.000]], "final_energy_ha_per_atom": -0.13500, "n_ef_per_ev_cell": 5.1, "delta_e_f_mev_per_atom": -143}

30.
{"formula": "Pr2LuHg", "functional": "GGA-PBE", "state": "relaxed", "lattice_angstrom": [[0.000, 3.914, 3.914], [3.914, 0.000, 3.914], [3.914, 3.914, 0.000]], "species": ["Pr", "Pr", "Lu", "Hg"], "fractional_positions": [[0.250, 0.250, 0.250], [0.750, 0.750, 0.750], [0.000, 0.000, 0.000], [0.500, 0.500, 0.500]], "final_energy_ha_per_atom": -0.13560, "n_ef_per_ev_cell": 5.1, "delta_e_f_mev_per_atom": -94}

31.
{"formula": "PrLu2Hg", "functional": "GGA-PBE", "state": "relaxed", "lattice_angstrom": [[3.590, 0.000, 0.000], [0.000, 3.590, 0.000], [0.000, 0.000, 8.890]], "species": ["Pr", "Lu", "Lu", "Hg"], "fractional_positions": [[0.000, 0.000, 0.000], [0.500, 0.500, 0.287], [0.500, 0.500, 0.713], [0.000, 0.000, 0.500]], "final_energy_ha_per_atom": -0.13835, "n_ef_per_ev_cell": 4.0, "delta_e_f_mev_per_atom": -234}